1.
Ca5NdAu6: relaxed, PBE.

Cell and atoms, written as POSCAR:
```
Ca5NdAu6
1.0
5.1631 0.0000 0.0000
0.0000 7.3351 0.0000
-2.5459 0.0000 7.7262
Ca Nd Au
5 1 6
Direct
0.0000 0.0000 0.0000
0.3303 0.5000 0.6606
0.3337 0.0000 0.6676
0.6663 0.0000 0.3324
0.6697 0.5000 0.3394
0.0000 0.5000 0.0000
0.1642 0.2497 0.3282
0.1642 0.7503 0.3282
0.5000 0.2574 0.0000
0.5000 0.7426 0.0000
0.8358 0.2497 0.6718
0.8358 0.7503 0.6718
```

Spin magnetization in μB/cell: 0.0
Crystal system: monoclinic
Total DFT energy (no corrections) in eV/atom: -3.660



2.
CaNd2Au4: relaxed, PBE.

Cell and atoms, written as POSCAR:
```
CaNd2Au4
1.0
2.5406 1.4668 8.3584
-2.5406 1.4668 8.3584
0.0000 -2.9336 8.3584
Ca Nd Au
1 2 4
Direct
0.0000 0.0000 0.0000
0.2423 0.2423 0.2423
0.7577 0.7577 0.7577
0.1208 0.1208 0.1208
0.3698 0.3698 0.3698
0.6302 0.6302 0.6302
0.8792 0.8792 0.8792
```

Spin magnetization in μB/cell: 0.0
Crystal system: trigonal
Total DFT energy (no corrections) in eV/atom: -4.173



3.
CaNd2Au4: relaxed, PBE.

Cell and atoms, written as POSCAR:
```
CaNd2Au4
1.0
5.2413 0.0000 0.0000
0.0000 5.2413 0.0000
0.0000 0.0000 15.2535
Ca Nd Au
2 4 8
Direct
0.0000 0.0000 0.0000
0.5000 0.5000 0.5000
0.0000 0.0000 0.3760
0.0000 0.0000 0.6240
0.5000 0.5000 0.1240
0.5000 0.5000 0.8760
0.0000 0.0000 0.1851
0.0000 0.0000 0.8149
0.0000 0.5000 0.0000
0.0000 0.5000 0.5000
0.5000 0.0000 0.0000
0.5000 0.0000 0.5000
0.5000 0.5000 0.3149
0.5000 0.5000 0.6851
```

Spin magnetization in μB/cell: 0.0
Crystal system: tetragonal
Total DFT energy (no corrections) in eV/atom: -3.798



4.
CaNdNiAu: relaxed, PBE.

Cell and atoms, written as POSCAR:
```
CaNdNiAu
1.0
7.1665 0.0000 0.0000
0.0000 7.1665 0.0000
0.0000 0.0000 7.1665
Ca Nd Ni Au
4 4 4 4
Direct
0.0000 0.0000 0.0000
0.0000 0.5000 0.5000
0.5000 0.0000 0.5000
0.5000 0.5000 0.0000
0.0000 0.0000 0.5000
0.0000 0.5000 0.0000
0.5000 0.0000 0.0000
0.5000 0.5000 0.5000
0.2500 0.2500 0.7500
0.2500 0.7500 0.2500
0.7500 0.2500 0.2500
0.7500 0.7500 0.7500
0.2500 0.2500 0.2500
0.2500 0.7500 0.7500
0.7500 0.2500 0.7500
0.7500 0.7500 0.2500
```

Spin magnetization in μB/cell: 0.0
Crystal system: cubic
Total DFT energy (no corrections) in eV/atom: -4.396



5.
CaNd2AuO5: relaxed, PBE.

Cell and atoms, written as POSCAR:
```
CaNd2AuO5
1.0
6.7314 0.0000 0.0000
0.0000 6.7314 0.0000
0.0000 0.0000 6.1164
Ca Nd Au O
2 4 2 10
Direct
0.0000 0.0000 0.0000
0.5000 0.5000 0.0000
0.1708 0.3292 0.5000
0.3292 0.8292 0.5000
0.6708 0.1708 0.5000
0.8292 0.6708 0.5000
0.0000 0.5000 0.0000
0.5000 0.0000 0.0000
0.0000 0.0000 0.5000
0.1517 0.6517 0.2527
0.1517 0.6517 0.7473
0.3483 0.1517 0.2527
0.3483 0.1517 0.7473
0.5000 0.5000 0.5000
0.6517 0.8483 0.2527
0.6517 0.8483 0.7473
0.8483 0.3483 0.2527
0.8483 0.3483 0.7473
```

Uncorrected formation energy in eV/atom: -2.2689
Spin magnetization in μB/cell: 2.0
Crystal system: tetragonal
Total DFT energy (no corrections) in eV/atom: -6.670



6.
CaNdPbAu: relaxed, PBE.

Cell and atoms, written as POSCAR:
```
CaNdPbAu
1.0
7.6165 0.0000 0.0000
0.0000 7.6165 0.0000
0.0000 0.0000 7.6165
Ca Nd Pb Au
4 4 4 4
Direct
0.0000 0.0000 0.0000
0.0000 0.5000 0.5000
0.5000 0.0000 0.5000
0.5000 0.5000 0.0000
0.0000 0.0000 0.5000
0.0000 0.5000 0.0000
0.5000 0.0000 0.0000
0.5000 0.5000 0.5000
0.2500 0.2500 0.7500
0.2500 0.7500 0.2500
0.7500 0.2500 0.2500
0.7500 0.7500 0.7500
0.2500 0.2500 0.2500
0.2500 0.7500 0.7500
0.7500 0.2500 0.7500
0.7500 0.7500 0.2500
```

Spin magnetization in μB/cell: 0.0
Crystal system: cubic
Total DFT energy (no corrections) in eV/atom: -4.112



7.
CaNdPdAu: relaxed, PBE.

Cell and atoms, written as POSCAR:
```
CaNdPdAu
1.0
4.5325 0.0000 0.0000
0.0000 3.9798 0.0000
0.0000 0.0000 11.1343
Ca Nd Pd Au
2 2 2 2
Direct
0.0000 0.0000 0.0000
0.0000 0.5000 0.5000
0.5000 0.0000 0.7235
0.5000 0.5000 0.2235
0.0000 0.0000 0.2741
0.0000 0.5000 0.7741
0.5000 0.0000 0.4421
0.5000 0.5000 0.9421
```

Spin magnetization in μB/cell: 0.0
Crystal system: orthorhombic
Total DFT energy (no corrections) in eV/atom: -4.600



8.
CaNdPdAu: relaxed, PBE.

Cell and atoms, written as POSCAR:
```
CaNdPdAu
1.0
7.2580 0.0000 0.0000
0.0000 7.2580 0.0000
0.0000 0.0000 7.2580
Ca Nd Pd Au
4 4 4 4
Direct
0.0000 0.0000 0.0000
0.0000 0.5000 0.5000
0.5000 0.0000 0.5000
0.5000 0.5000 0.0000
0.0000 0.0000 0.5000
0.0000 0.5000 0.0000
0.5000 0.0000 0.0000
0.5000 0.5000 0.5000
0.2500 0.2500 0.2500
0.2500 0.7500 0.7500
0.7500 0.2500 0.7500
0.7500 0.7500 0.2500
0.2500 0.2500 0.7500
0.2500 0.7500 0.2500
0.7500 0.2500 0.2500
0.7500 0.7500 0.7500
```

Spin magnetization in μB/cell: 0.0
Crystal system: cubic
Total DFT energy (no corrections) in eV/atom: -4.568



What did we get for mass density? Answer: 8.66 9.92 8.85 7.94 7.26 8.85 8.06 8.47 g/cm3, in the order shown.